Compound: NaPaVO4
Source: Alexandria via LeMat-Bulk
Functional: PBE with a Hubbard U
Structure: optimized geometry

```
data_NaPaVO4
_space_group_name_H-M_alt 'I m m a'
_space_group_IT_number 74
_space_group_name_Hall '-I 2b 2'
_cell_length_a 6.567
_cell_length_b 7.165
_cell_length_c 8.884
_cell_angle_alpha 90.00
_cell_angle_beta 90.00
_cell_angle_gamma 90.00
loop_
_atom_site_label
_atom_site_type_symbol
_atom_site_fract_x
_atom_site_fract_y
_atom_site_fract_z
_atom_site_occupancy
Na1 Na 0.000 0.250 0.133 1
Pa1 Pa 0.000 0.000 0.500 1
V1 V 0.250 0.250 0.750 1
O1 O 0.000 0.043 0.736 1
O2 O 0.208 0.250 0.503 1
```

Calculated values
spin magnetization	3.0	μB per formula unit
final energy	-8.098	eV per atom